Record 1
Computed, not measured: a relaxed structure of GeRu2Pb2 at the PBE-GGA level of DFT.

Cell lengths 4.712, 4.712, 5.325 Å; angles 90.00, 90.00, 90.00 degrees
Last column: magnetic moment on the atom in μB.
Sites, in units of the cell vectors:
Ru 0.500 0.000 0.000  0.29
Ru 0.000 0.500 0.000  0.29
Ge 0.000 0.000 0.000  -0.01
Pb 0.500 0.500 0.500  -0.02
Pb 0.000 0.000 0.500  -0.01

Calculated values
- Energy above the lowest structure with this stoichiometry: 426 meV per atom
- ΔH_f (0 K): 4.49 eV per formula unit


Record 2
Computed, not measured: a relaxed structure of HfNpAs2 at the PBE-GGA level of DFT.

Cell lengths 3.952, 3.952, 6.889 Å; angles 73.33, 73.33, 60.00 degrees
Last column: magnetic moment on the atom in μB.
Sites, in units of the cell vectors:
As 0.744 0.744 0.767  -0.05
As 0.256 0.256 0.233  -0.05
Hf 0.000 0.000 0.000  0.00
Np 0.500 0.500 0.500  3.78

Calculated values
- Energy above the lowest structure with this stoichiometry: 0 meV per atom
- ΔH_f (0 K): -3.50 eV per formula unit


Record 3
Computed, not measured: a relaxed structure of Sm3In2BRu3 at the PBE-GGA level of DFT.

Cell lengths 3.556, 7.738, 7.738 Å; angles 120.00, 90.00, 90.00 degrees
Sites, in units of the cell vectors:
Ru 0.500 0.211 0.211
Ru 0.500 0.000 0.789
Ru 0.500 0.789 0.000
In 0.500 0.667 0.333
In 0.500 0.333 0.667
Sm 0.000 0.342 0.000
Sm 0.000 0.658 0.658
Sm 0.000 0.000 0.342
B 0.000 0.000 0.000

Calculated values
- ΔH_f (0 K): -1.98 eV per formula unit


Record 4
Computed, not measured: a relaxed structure of KMgGa2Ru at the PBE-GGA level of DFT.

Cell lengths 4.875, 4.875, 5.097 Å; angles 90.00, 90.00, 90.00 degrees
Sites, in units of the cell vectors:
Ga 0.000 0.500 0.000
Ga 0.500 0.000 0.000
Ru 0.000 0.000 0.000
Mg 0.000 0.000 0.500
K 0.500 0.500 0.500

Calculated values
- ΔH_f (0 K): -0.96 eV per formula unit


Record 5
Computed, not measured: a relaxed structure of LaIn2Fe at the PBE-GGA level of DFT.

Cell lengths 3.410, 3.410, 7.807 Å; angles 90.00, 90.00, 90.00 degrees
Last column: magnetic moment on the atom in μB.
Sites, in units of the cell vectors:
Fe 0.500 0.500 0.750  2.38
La 0.500 0.500 0.250  -0.10
In 0.000 0.000 0.557  -0.05
In 0.000 0.000 0.943  -0.05

Calculated values
- ΔH_f (0 K): -0.18 eV per formula unit


Record 6
Computed, not measured: a relaxed structure of YCrSe at the PBE-GGA level of DFT.

Cell lengths 4.319, 4.319, 3.841 Å; angles 90.00, 90.00, 120.00 degrees
Last column: magnetic moment on the atom in μB.
Sites, in units of the cell vectors:
Cr 0.000 0.000 0.167  3.11
Se 0.667 0.333 0.166  -0.02
Y 0.333 0.667 0.667  0.05

Calculated values
- Energy above the lowest structure with this stoichiometry: 0 meV per atom
- Formation energy without anion corrections: -0.47 eV/atom


Q: What is the formula in the sixth record?
A: YCrSe